Entry 1:
Material: CsMnN2F
Method: DFT, SCAN
State: PBEsol geometry

**E_form (uncorrected)**: 1.61 eV per atom
**Volume**: 90 Å³ per cell
**Electronic total energy**: -14.025 eV per atom

abc: 4.316 4.316 4.817
angles: 90.00 90.00 90.00
Space group P4/mmm (No. 123)
Unique sites:
Cs  0.000  0.000  0.000 x1
Mn  0.500  0.500  0.500 x1
N  0.000  0.500  0.000 x2
F  0.000  0.000  0.500 x1

---

Entry 2:
Material: Cs2NaMnF6
Method: DFT, SCAN
State: PBEsol geometry

**E_form (uncorrected)**: -2.97 eV per atom
**Volume**: 1020 Å³ per cell
**Electronic total energy**: -14.907 eV per atom
**Polymorph energy (0 for the lowest one)**: 2 meV/atom

abc: 6.2098 6.2098 30.5452
angles: 90.00 90.00 120.00
Space group R-3m (No. 166, hexagonal axes)
Unique sites:
Cs  0.0000  0.0000  0.1244 x6
Cs  0.0000  0.0000  0.2883 x6
Na  0.0000  0.0000  0.4047 x6
Mn  0.0000  0.0000  0.0000 x3
Mn  0.0000  0.0000  0.5000 x3
F  0.0285  0.5142  0.7045 x18
F  0.0541  0.5270  0.1310 x18

---

Entry 3:
Material: Cs2NaMnF6
Method: DFT, SCAN
State: PBEsol geometry

**E_form (uncorrected)**: -2.98 eV per atom
**Volume**: 649 Å³ per cell
**Electronic total energy**: -14.909 eV per atom
**Polymorph energy (0 for the lowest one)**: 0 meV/atom

abc: 8.658 8.658 8.658
angles: 90.00 90.00 90.00
Space group Fm-3m (No. 225)
Unique sites:
Cs  0.250  0.250  0.250 x8
Na  0.000  0.000  0.000 x4
Mn  0.000  0.000  0.500 x4
F  0.000  0.000  0.275 x24

---

Entry 4:
Material: CsMnVF6
Method: DFT, SCAN
State: PBEsol geometry

**E_form (uncorrected)**: -3.14 eV per atom
**Volume**: 582 Å³ per cell
**Electronic total energy**: -13.671 eV per atom

abc: 7.420 7.441 10.550
angles: 90.00 90.00 90.00
Space group Imma (No. 74)
Unique sites:
Cs  0.000  0.250  0.128 x4
Mn  0.000  0.000  0.500 x4
V  0.250  0.250  0.750 x4
F  0.000  0.250  0.420 x4
F  0.000  0.250  0.805 x4
F  0.207  0.063  0.627 x16

---

Entry 5:
Material: Cs3Mo2O6F3
Method: DFT, SCAN
State: PBEsol geometry

**E_form (uncorrected)**: -2.54 eV per atom
**Volume**: 529 Å³ per cell
**Electronic total energy**: -19.058 eV per atom

abc: 6.3232 6.3232 15.2883
angles: 90.00 90.00 120.00
Space group P6_3/mmc (No. 194)
Unique sites:
Cs  0.3333  0.6667  0.0567 x4
Cs  0.3333  0.6667  0.7500 x2
Mo  0.0000  0.0000  0.1417 x4
O  0.1454  0.2909  0.5966 x12
F  0.1299  0.2597  0.2500 x6

---

Entry 6:
Material: CsNF2
Method: DFT, SCAN
State: PBEsol geometry

**E_form (uncorrected)**: -0.19 eV per atom
**Volume**: 199 Å³ per cell
**Electronic total energy**: -13.731 eV per atom

abc: 3.9609 3.9609 14.6414
angles: 90.00 90.00 120.00
Space group R-3m (No. 166, hexagonal axes)
Unique sites:
Cs  0.0000  0.0000  0.0000 x3
N  0.0000  0.0000  0.5000 x3
F  0.0000  0.0000  0.2109 x6

---

Entry 7:
Material: CsNbN2F
Method: DFT, SCAN
State: PBEsol geometry

**E_form (uncorrected)**: 1.95 eV per atom
**Volume**: 91 Å³ per cell
**Electronic total energy**: -16.663 eV per atom

abc: 4.409 4.409 4.665
angles: 90.00 90.00 90.00
Space group P4/mmm (No. 123)
Unique sites:
Cs  0.000  0.000  0.000 x1
Nb  0.500  0.500  0.500 x1
N  0.000  0.500  0.000 x2
F  0.000  0.000  0.500 x1

---

Entry 8:
Material: CsN2OF
Method: DFT, SCAN
State: PBEsol geometry

**E_form (uncorrected)**: 0.99 eV per atom
**Volume**: 91 Å³ per cell
**Electronic total energy**: -12.245 eV per atom

abc: 3.731 3.731 6.525
angles: 90.00 90.00 90.00
Space group P4/mmm (No. 123)
Unique sites:
Cs  0.000  0.000  0.000 x1
N  0.000  0.500  0.500 x2
O  0.500  0.500  0.500 x1
F  0.500  0.500  0.000 x1